1.
Entry from Alexandria: a relaxed Rb4CoSe4 crystal (GGA-PBE).

The space group is P4_2/nmc (No. 137, origin choice 2) and the conventional cell measures 9.6570, 9.6570 and 7.1860 Å, with angles of 90.00, 90.00 and 90.00 degrees. The inequivalent atoms are Rb at (0.0235, 0.2500, 0.0815), Co at (0.2500, 0.7500, 0.2500) and Se at (0.0448, 0.7500, 0.4274).

The calculated total energy comes out at -3.552 eV/atom.

2.
Entry from Alexandria: a relaxed RbCoSe3 crystal (GGA-PBE).

The space group is Pm-3m (No. 221) and the conventional cell measures 6.0199, 6.0199 and 6.0199 Å, with angles of 90.00, 90.00 and 90.00 degrees. The inequivalent atoms are Rb at (0.0000, 0.0000, 0.0000), Co at (0.5000, 0.5000, 0.5000) and Se at (0.0000, 0.0000, 0.5000).

The value obtained for the offset from the most stable computed form is 1772.5 meV per atom.

3.
Entry from Alexandria: a relaxed RbUCoSe4 crystal (GGA-PBE).

The space group is P2_1/m (No. 11) and the conventional cell measures 6.8830, 5.8905 and 9.6027 Å, with angles of 90.00, 105.64 and 90.00 degrees. The inequivalent atoms are Rb at (0.2441, 0.2500, 0.0482), U at (0.2637, 0.2500, 0.5488), Co at (0.2529, 0.7500, 0.3497), Se at (0.0141, 0.5077, 0.6980), Se at (0.4264, 0.7500, 0.5914) and Se at (0.4535, 0.7500, 0.1876).

The calculated total energy comes out at -5.615 eV/atom.

4.
Entry from Alexandria: a relaxed Rb2U2CoSe6 crystal (GGA-PBE).

The space group is C2/m (No. 12) and the conventional cell measures 6.9723, 11.9796 and 8.5611 Å, with angles of 90.00, 105.93 and 90.00 degrees. The inequivalent atoms are Rb at (0.0000, 0.1685, 0.0000), U at (0.0000, 0.3330, 0.5000), Co at (0.0000, 0.0000, 0.5000), Se at (0.2246, 0.1596, 0.6862) and Se at (0.2438, 0.5000, 0.6842).

The calculated total energy comes out at -5.738 eV/atom.

5.
Entry from Alexandria: a relaxed RbUCoSe3 crystal (GGA-PBE).

The space group is P2_1/m (No. 11) and the conventional cell measures 9.5636, 3.9636 and 9.7911 Å, with angles of 90.00, 113.21 and 90.00 degrees. The inequivalent atoms are Rb at (0.2090, 0.2500, 0.2416), U at (0.3174, 0.7500, 0.8372), Co at (0.0821, 0.2500, 0.5914), Se at (0.1161, 0.2500, 0.8524), Se at (0.1879, 0.7500, 0.5270) and Se at (0.4639, 0.7500, 0.1569).

The calculated total energy comes out at -5.917 eV/atom.

6.
Entry from Alexandria: a relaxed Rb4U3CoSe8 crystal (GGA-PBE).

The space group is R-3m (No. 166, hexagonal axes) and the conventional cell measures 8.3278, 8.3278 and 24.0732 Å, with angles of 90.00, 90.00 and 120.00 degrees. The inequivalent atoms are Rb at (0.0000, 0.0000, 0.0000), Rb at (0.0000, 0.5000, 0.0000), U at (0.0000, 0.5000, 0.5000), Co at (0.0000, 0.0000, 0.5000), Se at (0.0000, 0.0000, 0.2336) and Se at (0.0094, 0.5047, 0.2297).

The calculated total energy comes out at -5.579 eV/atom.

no.,volume (Å³ per cell)
1,670
2,218
3,375
4,688
5,341
6,1446